Pr3Nd4Er2 after structural relaxation. Source: Alexandria, functional PBE-GGA.

Results
Mass density   7.14 g cm⁻³
Symmetry   No. 2
N(E_F)   13.14 states/eV/cell
ΔH_f (0 K)   16 meV/atom

a = 6.3172 Å, b = 6.3266 Å, c = 13.1664 Å
α = 118.56°, β = 103.95°, γ = 120.01°
Last column: nearest neighbours and their distance in Å.
Fractional coordinates of all 9 atoms:
Nd1 0.6652 0.3306 0.0001  5 Nd 3.62-3.67, 5 Pr 3.64-3.68, 2 Er 3.66-3.67
Nd2 0.3348 0.6694 0.9999  5 Nd 3.62-3.67, 5 Pr 3.64-3.68, 2 Er 3.66-3.67
Nd3 0.8896 0.7785 0.6656  4 Er 3.63-3.66, 5 Pr 3.63-3.67, 3 Nd 3.64-3.67
Nd4 0.1104 0.2215 0.3344  4 Er 3.63-3.66, 5 Pr 3.63-3.67, 3 Nd 3.64-3.67
Pr1 0.5530 0.1087 0.6649  4 Er 3.63-3.66, 2 Pr 3.63-3.68, 6 Nd 3.63-3.68
Pr2 0.0000 0.0000 0.0000  8 Nd 3.64-3.67, 2 Er 3.66, 2 Pr 3.68
Pr3 0.4470 0.8913 0.3351  4 Er 3.63-3.66, 2 Pr 3.63-3.68, 6 Nd 3.63-3.68
Er1 0.7800 0.5592 0.3352  5 Pr 3.63-3.66, 6 Nd 3.63-3.67, 1 Er 3.63
Er2 0.2200 0.4408 0.6648  5 Pr 3.63-3.66, 6 Nd 3.63-3.67, 1 Er 3.63

***

Pt2W after structural relaxation. Source: Alexandria, functional PBE-GGA.

Results
Mass density   20.10 g cm⁻³
Symmetry   No. 63
N(E_F)   3.73 states/eV/cell
ΔH_f (0 K)   -145 meV/atom

a = 7.4894 Å, b = 7.4894 Å, c = 4.6652 Å
α = 90.00°, β = 90.00°, γ = 158.75°
Last column: nearest neighbours and their distance in Å.
Fractional coordinates of all 6 atoms:
W1 0.2870 0.7130 0.7500  6 Pt 2.71-2.82, 6 W 2.76-2.92
W2 0.7130 0.2870 0.2500  6 Pt 2.71-2.82, 6 W 2.76-2.92
Pt1 0.6197 0.3803 0.7500  4 W 2.71-2.82, 8 Pt 2.76-2.91
Pt2 0.0544 0.9456 0.2500  2 W 2.71, 10 Pt 2.76-2.91
Pt3 0.9456 0.0544 0.7500  2 W 2.71, 10 Pt 2.76-2.91
Pt4 0.3803 0.6197 0.2500  4 W 2.71-2.82, 8 Pt 2.76-2.91

***

MnCdN2 after structural relaxation. Source: Alexandria, functional PBE-GGA.

Results
Mass density   6.63 g cm⁻³
Formation energy (no corrections)   257 meV per atom
Symmetry   No. 166
N(E_F)   1.56 states/eV/cell

a = 6.4742 Å, b = 6.4742 Å, c = 6.4742 Å
α = 26.89°, β = 26.89°, γ = 26.89°
Last column: nearest neighbours and their distance in Å.
Fractional coordinates of all 4 atoms:
N1 0.1138 0.1138 0.1138  3 Mn 2.00, 1 Cd 2.13
N2 0.8862 0.8862 0.8862  3 Mn 2.00, 1 Cd 2.13
Cd1 0.0000 0.0000 0.0000  2 N 2.13
Mn1 0.5000 0.5000 0.5000  6 N 2.00

***

Ba3Li3Hg8 after structural relaxation. Source: Alexandria, functional PBE-GGA.

Results
Mass density   8.49 g cm⁻³
Symmetry   No. 71
N(E_F)   9.51 states/eV/cell
ΔH_f (0 K)   -416 meV/atom

a = 4.9536 Å, b = 9.6446 Å, c = 9.6446 Å
α = 65.18°, β = 75.12°, γ = 75.12°
Last column: nearest neighbours and their distance in Å.
Fractional coordinates of all 14 atoms:
Hg1 0.6174 0.6888 0.0764  1 Li 2.71, 2 Hg 3.02
Hg2 0.6174 0.0764 0.6888  1 Li 2.71, 2 Hg 3.02
Hg3 0.8440 0.5055 0.8065  1 Li 2.92, 3 Hg 3.02-3.13
Hg4 0.8440 0.8065 0.5055  1 Li 2.92, 3 Hg 3.02-3.13
Hg5 0.1560 0.1935 0.4945  1 Li 2.92, 3 Hg 3.02-3.13
Hg6 0.3826 0.3112 0.9236  1 Li 2.71, 2 Hg 3.02
Hg7 0.3826 0.9236 0.3112  1 Li 2.71, 2 Hg 3.02
Hg8 0.1560 0.4945 0.1935  1 Li 2.92, 3 Hg 3.02-3.13
Ba1 0.7870 0.2130 0.2130  10 Hg 3.52-3.74, 2 Li 3.85
Ba2 0.5000 0.5000 0.5000  12 Hg 3.66-3.80, 4 Li 4.05
Ba3 0.2130 0.7870 0.7870  10 Hg 3.52-3.74, 2 Li 3.85
Li1 0.5000 0.0000 0.0000  4 Hg 2.71
Li2 0.0000 0.1912 0.8088  6 Hg 2.92-3.07, 2 Li 3.18
Li3 0.0000 0.8088 0.1912  6 Hg 2.92-3.07, 2 Li 3.18

***

HfTi12Nb6 after structural relaxation. Source: Alexandria, functional PBE-GGA.

Results
Mass density   6.20 g cm⁻³
Symmetry   No. 166
N(E_F)   25.27 states/eV/cell
ΔH_f (0 K)   281 meV/atom

a = 8.1046 Å, b = 8.1046 Å, c = 8.1046 Å
α = 112.78°, β = 112.78°, γ = 112.78°
Last column: nearest neighbours and their distance in Å.
Fractional coordinates of all 19 atoms:
Ti1 0.2083 0.7917 0.5000  2 Ti 2.43
Ti2 0.4143 0.1755 0.4143  4 Ti 2.74-2.89, 2 Nb 2.78, 1 Hf 2.91
Ti3 0.5857 0.5857 0.8245  4 Ti 2.74-2.89, 2 Nb 2.78, 1 Hf 2.91
Ti4 0.5000 0.7917 0.2083  2 Ti 2.43
Ti5 0.1755 0.4143 0.4143  4 Ti 2.74-2.89, 2 Nb 2.78, 1 Hf 2.91
Ti6 0.4143 0.4143 0.1755  4 Ti 2.74-2.89, 2 Nb 2.78, 1 Hf 2.91
Ti7 0.7917 0.2083 0.5000  2 Ti 2.43
Ti8 0.7917 0.5000 0.2083  2 Ti 2.43
Ti9 0.8245 0.5857 0.5857  4 Ti 2.74-2.89, 2 Nb 2.78, 1 Hf 2.91
Ti10 0.2083 0.5000 0.7917  2 Ti 2.43
Ti11 0.5857 0.8245 0.5857  4 Ti 2.74-2.89, 2 Nb 2.78, 1 Hf 2.91
Ti12 0.5000 0.2083 0.7917  2 Ti 2.43
Nb1 0.0072 0.3533 0.0072  1 Nb 2.47
Nb2 0.9928 0.9928 0.6467  1 Nb 2.47
Nb3 0.9928 0.6467 0.9928  1 Nb 2.47
Nb4 0.0072 0.0072 0.3533  1 Nb 2.47
Nb5 0.3533 0.0072 0.0072  1 Nb 2.47
Nb6 0.6467 0.9928 0.9928  1 Nb 2.47
Hf1 0.0000 0.0000 0.0000  6 Nb 2.82, 6 Ti 2.91

***

HoSc3Se6 after structural relaxation. Source: Alexandria, functional PBE-GGA.

Results
Mass density   5.47 g cm⁻³
Formation energy (no corrections)   -1717 meV per atom
Symmetry   No. 11

a = 3.9191 Å, b = 11.1941 Å, c = 11.3783 Å
α = 109.81°, β = 90.00°, γ = 90.00°
Last column: nearest neighbours and their distance in Å.
Fractional coordinates of all 20 atoms:
Se1 0.2500 0.0813 0.9075  3 Sc 2.72-2.75, 2 Ho 3.00
Se2 0.2500 0.2620 0.7286  3 Sc 2.75-2.84, 2 Ho 3.03
Se3 0.7500 0.3921 0.0601  4 Sc 2.71-2.77
Se4 0.2500 0.5241 0.3850  3 Sc 2.67-2.69
Se5 0.7500 0.1155 0.4674  3 Ho 2.90-2.98, 2 Sc 2.90
Se6 0.7500 0.7998 0.7489  3 Sc 2.64-2.71
Se7 0.2500 0.2002 0.2511  3 Sc 2.64-2.71
Se8 0.2500 0.8845 0.5326  3 Ho 2.90-2.98, 2 Sc 2.90
Se9 0.7500 0.7380 0.2714  3 Sc 2.75-2.84, 2 Ho 3.03
Se10 0.7500 0.9187 0.0925  3 Sc 2.72-2.75, 2 Ho 3.00
Se11 0.2500 0.6079 0.9399  4 Sc 2.71-2.77
Se12 0.7500 0.4759 0.6150  3 Sc 2.67-2.69
Sc1 0.7500 0.4379 0.8359  6 Se 2.69-2.77
Sc2 0.7500 0.6842 0.4979  6 Se 2.67-2.90
Sc3 0.2500 0.3158 0.5021  6 Se 2.67-2.90
Sc4 0.2500 0.8407 0.9135  6 Se 2.64-2.75
Sc5 0.7500 0.1593 0.0865  6 Se 2.64-2.75
Sc6 0.2500 0.5621 0.1641  6 Se 2.69-2.77
Ho1 0.7500 0.0471 0.6985  8 Se 2.90-3.03
Ho2 0.2500 0.9529 0.3015  8 Se 2.90-3.03

***

La6Cu5 after structural relaxation. Source: Alexandria, functional PBE-GGA.

Results
Mass density   6.64 g cm⁻³
Symmetry   No. 12
N(E_F)   13.46 states/eV/cell
ΔH_f (0 K)   -78 meV/atom

a = 5.1332 Å, b = 7.3017 Å, c = 8.8841 Å
α = 114.28°, β = 106.78°, γ = 89.99°
Last column: nearest neighbours and their distance in Å.
Fractional coordinates of all 11 atoms:
Cu1 0.6691 0.1700 0.3412  8 La 3.12-3.20
Cu2 0.3309 0.8300 0.6588  8 La 3.12-3.20
Cu3 0.3340 0.3321 0.6642  8 La 3.15-3.16
Cu4 0.0000 0.5000 0.0000  8 La 3.12-3.15
Cu5 0.6660 0.6679 0.3358  8 La 3.15-3.16
La1 0.8355 0.0843 0.6704  7 Cu 3.12-3.16
La2 0.1646 0.4138 0.3297  7 Cu 3.12-3.16
La3 0.8354 0.5862 0.6703  7 Cu 3.12-3.16
La4 0.1645 0.9157 0.3296  7 Cu 3.12-3.16
La5 0.5001 0.2506 0.0001  6 Cu 3.15-3.20
La6 0.4999 0.7494 0.9999  6 Cu 3.15-3.20

***

Zr3Te after structural relaxation. Source: Alexandria, functional PBE-GGA.

Results
Mass density   7.30 g cm⁻³
Formation energy (no corrections)   -329 meV per atom
Symmetry   No. 12
N(E_F)   4.04 states/eV/cell

a = 5.4079 Å, b = 5.4079 Å, c = 5.2159 Å
α = 77.61°, β = 77.61°, γ = 37.92°
Last column: nearest neighbours and their distance in Å.
Fractional coordinates of all 4 atoms:
Zr1 0.2620 0.2620 0.2326  3 Te 3.02-3.18, 7 Zr 3.05-3.26
Zr2 0.5000 0.5000 0.5000  6 Zr 3.07-3.24, 4 Te 3.14
Zr3 0.7380 0.7380 0.7674  3 Te 3.02-3.18, 7 Zr 3.05-3.26
Te1 0.0000 0.0000 0.0000  10 Zr 3.02-3.18